1.
# PBE TbNd2ThSc4, relaxed
# - spin magnetization (μB/cell) = 0.000
# - calculated density (g cm⁻³) = 6.204
# - space-group type = Pmmm, No. 47
# - VASP energy (eV/atom) = -5.816
data_TbNd2ThSc4
_chemical_formula_sum 'Tb1 Nd2 Th1 Sc4'
_cell_length_a 5.040
_cell_length_b 5.052
_cell_length_c 9.033
_cell_angle_alpha 90.00
_cell_angle_beta 90.00
_cell_angle_gamma 90.00
_symmetry_space_group_name_H-M 'P 1'
_symmetry_Int_Tables_number 1
loop_
_symmetry_equiv_pos_as_xyz
'x,y,z'
loop_
_atom_site_label
_atom_site_type_symbol
_atom_site_fract_x
_atom_site_fract_y
_atom_site_fract_z
Tb1 Tb 0.000 0.000 0.000
Nd1 Nd 0.000 0.000 0.500
Nd2 Nd 0.500 0.500 0.000
Th1 Th 0.500 0.500 0.500
Sc1 Sc 0.000 0.500 0.253
Sc2 Sc 0.000 0.500 0.747
Sc3 Sc 0.500 0.000 0.253
Sc4 Sc 0.500 0.000 0.747

2.
# PBE TbNdThSc, relaxed
# - spin magnetization (μB/cell) = 0.000
# - excess energy over the best structure of this formula in the dataset (kJ/mol of formula units) = 0
# - calculated density (g cm⁻³) = 7.810
# - space-group type = R3m, No. 160
data_TbNdThSc
_chemical_formula_sum 'Tb1 Nd1 Th1 Sc1'
_cell_length_a 11.476
_cell_length_b 11.476
_cell_length_c 11.476
_cell_angle_alpha 17.81
_cell_angle_beta 17.81
_cell_angle_gamma 17.81
_symmetry_space_group_name_H-M 'P 1'
_symmetry_Int_Tables_number 1
loop_
_symmetry_equiv_pos_as_xyz
'x,y,z'
loop_
_atom_site_label
_atom_site_type_symbol
_atom_site_fract_x
_atom_site_fract_y
_atom_site_fract_z
Tb1 Tb 0.000 0.000 0.000
Nd1 Nd 0.244 0.244 0.244
Th1 Th 0.416 0.416 0.416
Sc1 Sc 0.828 0.828 0.828

3.
# PBE TbNdThSc, relaxed
# - spin magnetization (μB/cell) = 0.000
# - excess energy over the best structure of this formula in the dataset (kJ/mol of formula units) = 32
# - calculated density (g cm⁻³) = 7.789
# - space-group type = F-43m, No. 216
data_TbNdThSc
_chemical_formula_sum 'Tb1 Nd1 Th1 Sc1'
_cell_length_a 5.593
_cell_length_b 5.593
_cell_length_c 5.593
_cell_angle_alpha 60.00
_cell_angle_beta 60.00
_cell_angle_gamma 60.00
_symmetry_space_group_name_H-M 'P 1'
_symmetry_Int_Tables_number 1
loop_
_symmetry_equiv_pos_as_xyz
'x,y,z'
loop_
_atom_site_label
_atom_site_type_symbol
_atom_site_fract_x
_atom_site_fract_y
_atom_site_fract_z
Tb1 Tb 0.000 0.000 0.000
Nd1 Nd 0.250 0.250 0.250
Th1 Th 0.750 0.750 0.750
Sc1 Sc 0.500 0.500 0.500

4.
# PBE Tb5Nd2ThSc, relaxed
# - spin magnetization (μB/cell) = 0.000
# - calculated density (g cm⁻³) = 7.600
# - space-group type = Cmc2_1, No. 36
# - VASP energy (eV/atom) = -4.989
data_Tb5Nd2ThSc
_chemical_formula_sum 'Tb10 Nd4 Th2 Sc2'
_cell_length_a 11.310
_cell_length_b 11.310
_cell_length_c 9.538
_cell_angle_alpha 90.00
_cell_angle_beta 90.00
_cell_angle_gamma 150.85
_symmetry_space_group_name_H-M 'P 1'
_symmetry_Int_Tables_number 1
loop_
_symmetry_equiv_pos_as_xyz
'x,y,z'
loop_
_atom_site_label
_atom_site_type_symbol
_atom_site_fract_x
_atom_site_fract_y
_atom_site_fract_z
Tb1 Tb 0.012 0.988 0.500
Tb2 Tb 0.268 0.732 0.821
Tb3 Tb 0.304 0.696 0.208
Tb4 Tb 0.393 0.607 0.536
Tb5 Tb 0.472 0.528 0.238
Tb6 Tb 0.528 0.472 0.738
Tb7 Tb 0.607 0.393 0.036
Tb8 Tb 0.696 0.304 0.708
Tb9 Tb 0.732 0.268 0.321
Tb10 Tb 0.988 0.012 0.000
Nd1 Nd 0.115 0.885 0.807
Nd2 Nd 0.134 0.866 0.200
Nd3 Nd 0.866 0.134 0.700
Nd4 Nd 0.885 0.115 0.307
Th1 Th 0.400 0.600 0.921
Th2 Th 0.600 0.400 0.421
Sc1 Sc 0.192 0.808 0.504
Sc2 Sc 0.808 0.192 0.004

5.
# PBE Tb2NdScTl4, relaxed
# - spin magnetization (μB/cell) = 0.001
# - calculated density (g cm⁻³) = 10.095
# - space-group type = R-3m, No. 166
# - VASP energy (eV/atom) = -4.051
data_Tb2NdScTl4
_chemical_formula_sum 'Tb2 Nd1 Sc1 Tl4'
_cell_length_a 9.328
_cell_length_b 9.328
_cell_length_c 9.328
_cell_angle_alpha 33.30
_cell_angle_beta 33.30
_cell_angle_gamma 33.30
_symmetry_space_group_name_H-M 'P 1'
_symmetry_Int_Tables_number 1
loop_
_symmetry_equiv_pos_as_xyz
'x,y,z'
loop_
_atom_site_label
_atom_site_type_symbol
_atom_site_fract_x
_atom_site_fract_y
_atom_site_fract_z
Tb1 Tb 0.248 0.248 0.248
Tb2 Tb 0.752 0.752 0.752
Nd1 Nd 0.000 0.000 0.000
Sc1 Sc 0.500 0.500 0.500
Tl1 Tl 0.128 0.128 0.128
Tl2 Tl 0.378 0.378 0.378
Tl3 Tl 0.622 0.622 0.622
Tl4 Tl 0.872 0.872 0.872

6.
# PBE TbNd2ScTl2, relaxed
# - spin magnetization (μB/cell) = 0.000
# - calculated density (g cm⁻³) = 8.546
# - space-group type = Pmc2_1, No. 26
# - VASP energy (eV/atom) = -4.463
data_TbNd2ScTl2
_chemical_formula_sum 'Tb2 Nd4 Sc2 Tl4'
_cell_length_a 5.010
_cell_length_b 10.005
_cell_length_c 6.986
_cell_angle_alpha 90.00
_cell_angle_beta 90.00
_cell_angle_gamma 90.00
_symmetry_space_group_name_H-M 'P 1'
_symmetry_Int_Tables_number 1
loop_
_symmetry_equiv_pos_as_xyz
'x,y,z'
loop_
_atom_site_label
_atom_site_type_symbol
_atom_site_fract_x
_atom_site_fract_y
_atom_site_fract_z
Tb1 Tb 0.000 0.046 0.000
Tb2 Tb 0.000 0.954 0.500
Nd1 Nd 0.000 0.313 0.378
Nd2 Nd 0.000 0.687 0.878
Nd3 Nd 0.500 0.451 0.100
Nd4 Nd 0.500 0.549 0.600
Sc1 Sc 0.500 0.189 0.707
Sc2 Sc 0.500 0.811 0.207
Tl1 Tl 0.000 0.350 0.836
Tl2 Tl 0.000 0.650 0.336
Tl3 Tl 0.500 0.113 0.273
Tl4 Tl 0.500 0.887 0.773

7.
# PBE TbNd4Tm2Sc, relaxed
# - spin magnetization (μB/cell) = 0.000
# - calculated density (g cm⁻³) = 7.256
# - space-group type = P4/mmm, No. 123
# - VASP energy (eV/atom) = -4.847
data_TbNd4Tm2Sc
_chemical_formula_sum 'Tb1 Nd4 Tm2 Sc1'
_cell_length_a 5.100
_cell_length_b 5.100
_cell_length_c 9.844
_cell_angle_alpha 90.00
_cell_angle_beta 90.00
_cell_angle_gamma 90.00
_symmetry_space_group_name_H-M 'P 1'
_symmetry_Int_Tables_number 1
loop_
_symmetry_equiv_pos_as_xyz
'x,y,z'
loop_
_atom_site_label
_atom_site_type_symbol
_atom_site_fract_x
_atom_site_fract_y
_atom_site_fract_z
Tb1 Tb 0.000 0.000 0.000
Nd1 Nd 0.000 0.500 0.255
Nd2 Nd 0.000 0.500 0.745
Nd3 Nd 0.500 0.000 0.255
Nd4 Nd 0.500 0.000 0.745
Tm1 Tm 0.000 0.000 0.500
Tm2 Tm 0.500 0.500 0.000
Sc1 Sc 0.500 0.500 0.500

8.
# PBE TbNdTmSc, relaxed
# - spin magnetization (μB/cell) = 0.001
# - excess energy over the best structure of this formula in the dataset (kJ/mol of formula units) = 17
# - calculated density (g cm⁻³) = 7.048
# - space-group type = F-43m, No. 216
data_TbNdTmSc
_chemical_formula_sum 'Tb1 Nd1 Tm1 Sc1'
_cell_length_a 5.564
_cell_length_b 5.564
_cell_length_c 5.564
_cell_angle_alpha 60.00
_cell_angle_beta 60.00
_cell_angle_gamma 60.00
_symmetry_space_group_name_H-M 'P 1'
_symmetry_Int_Tables_number 1
loop_
_symmetry_equiv_pos_as_xyz
'x,y,z'
loop_
_atom_site_label
_atom_site_type_symbol
_atom_site_fract_x
_atom_site_fract_y
_atom_site_fract_z
Tb1 Tb 0.000 0.000 0.000
Nd1 Nd 0.500 0.500 0.500
Tm1 Tm 0.250 0.250 0.250
Sc1 Sc 0.750 0.750 0.750

spin magnetization of number 3 (TbNdThSc)?
0.000 μB/cell